i.
# Ac2UN3 (GGA-PBE, relaxed)
data_Ac2UN3
_cell_length_a 6.3449
_cell_length_b 6.4828
_cell_length_c 6.4828
_cell_angle_alpha 118.80
_cell_angle_beta 99.71
_cell_angle_gamma 99.71
_symmetry_space_group_name_H-M 'P 1'
_symmetry_Int_Tables_number 1
loop_
_symmetry_equiv_pos_as_xyz
'x,y,z'
loop_
_atom_site_label
_atom_site_type_symbol
_atom_site_fract_x
_atom_site_fract_y
_atom_site_fract_z
Ac1 Ac 0.2500 0.9141 0.0859
Ac2 Ac 0.2500 0.2464 0.7536
Ac3 Ac 0.7500 0.0859 0.9141
Ac4 Ac 0.7500 0.7536 0.2464
U1 U 0.2500 0.5792 0.4208
U2 U 0.7500 0.4208 0.5792
N1 N 0.0034 0.2483 0.3787
N2 N 0.5034 0.3787 0.2483
N3 N 0.0000 0.5000 0.0000
N4 N 0.9966 0.7517 0.6213
N5 N 0.5000 0.0000 0.5000
N6 N 0.4966 0.6213 0.7517
# Space-group type: C2/c (15)


ii.
# Ac2UN3 (GGA-PBE, relaxed)
data_Ac2UN3
_cell_length_a 5.3594
_cell_length_b 7.2146
_cell_length_c 6.5431
_cell_angle_alpha 106.10
_cell_angle_beta 114.18
_cell_angle_gamma 90.00
_symmetry_space_group_name_H-M 'P 1'
_symmetry_Int_Tables_number 1
loop_
_symmetry_equiv_pos_as_xyz
'x,y,z'
loop_
_atom_site_label
_atom_site_type_symbol
_atom_site_fract_x
_atom_site_fract_y
_atom_site_fract_z
Ac1 Ac 0.6687 0.5835 0.3331
Ac2 Ac 0.6644 0.0835 0.3331
Ac3 Ac 0.3356 0.9165 0.6669
Ac4 Ac 0.3313 0.4165 0.6669
U1 U 0.9899 0.7500 0.0000
U2 U 0.0101 0.2500 0.0000
N1 N 0.4380 0.2500 0.0000
N2 N 0.5620 0.7500 0.0000
N3 N 0.1213 0.0618 0.2484
N4 N 0.8729 0.4382 0.7516
N5 N 0.1271 0.5618 0.2484
N6 N 0.8787 0.9382 0.7516
# Space-group type: C2/c (15)


Result of the stability comparison: ii is the most stable of them.


i.
# AcUN2 (GGA-PBE, relaxed)
data_AcUN2
_cell_length_a 3.1217
_cell_length_b 3.1217
_cell_length_c 6.2955
_cell_angle_alpha 90.00
_cell_angle_beta 90.00
_cell_angle_gamma 90.00
_symmetry_space_group_name_H-M 'P 1'
_symmetry_Int_Tables_number 1
loop_
_symmetry_equiv_pos_as_xyz
'x,y,z'
loop_
_atom_site_label
_atom_site_type_symbol
_atom_site_fract_x
_atom_site_fract_y
_atom_site_fract_z
Ac1 Ac 0.5000 0.5000 0.5000
U1 U 0.5000 0.5000 0.0000
N1 N 0.0000 0.0000 0.7755
N2 N 0.0000 0.0000 0.2245
# Space-group type: P4/mmm (123)


ii.
# AcUN2 (GGA-PBE, relaxed)
data_AcUN2
_cell_length_a 3.6010
_cell_length_b 3.6010
_cell_length_c 6.4284
_cell_angle_alpha 73.73
_cell_angle_beta 73.73
_cell_angle_gamma 60.00
_symmetry_space_group_name_H-M 'P 1'
_symmetry_Int_Tables_number 1
loop_
_symmetry_equiv_pos_as_xyz
'x,y,z'
loop_
_atom_site_label
_atom_site_type_symbol
_atom_site_fract_x
_atom_site_fract_y
_atom_site_fract_z
Ac1 Ac 0.5000 0.5000 0.5000
U1 U 0.0000 0.0000 0.0000
N1 N 0.2722 0.2722 0.1835
N2 N 0.7278 0.7278 0.8165
# Space-group type: R-3m (166)


Result of the stability comparison: ii is the most stable of them.


i.
# Ac3UN4 (GGA-PBE, relaxed)
data_Ac3UN4
_cell_length_a 6.4203
_cell_length_b 6.5520
_cell_length_c 7.5671
_cell_angle_alpha 90.00
_cell_angle_beta 90.00
_cell_angle_gamma 108.69
_symmetry_space_group_name_H-M 'P 1'
_symmetry_Int_Tables_number 1
loop_
_symmetry_equiv_pos_as_xyz
'x,y,z'
loop_
_atom_site_label
_atom_site_type_symbol
_atom_site_fract_x
_atom_site_fract_y
_atom_site_fract_z
Ac1 Ac 0.7500 0.0000 0.3753
Ac2 Ac 0.2500 0.0000 0.6247
Ac3 Ac 0.7500 0.5000 0.6309
Ac4 Ac 0.7500 0.5000 0.1233
Ac5 Ac 0.2500 0.5000 0.3691
Ac6 Ac 0.2500 0.5000 0.8767
U1 U 0.7500 0.0000 0.8807
U2 U 0.2500 0.0000 0.1193
N1 N 0.9526 0.2061 0.6733
N2 N 0.5016 0.1976 0.8986
N3 N 0.4526 0.2061 0.3267
N4 N 0.0016 0.1976 0.1014
N5 N 0.9984 0.8024 0.8986
N6 N 0.5474 0.7939 0.6733
N7 N 0.4984 0.8024 0.1014
N8 N 0.0474 0.7939 0.3267
# Space-group type: P2/c (13)


ii.
# Ac3UN4 (GGA-PBE, relaxed)
data_Ac3UN4
_cell_length_a 5.7039
_cell_length_b 7.2399
_cell_length_c 8.6728
_cell_angle_alpha 90.00
_cell_angle_beta 90.00
_cell_angle_gamma 90.00
_symmetry_space_group_name_H-M 'P 1'
_symmetry_Int_Tables_number 1
loop_
_symmetry_equiv_pos_as_xyz
'x,y,z'
loop_
_atom_site_label
_atom_site_type_symbol
_atom_site_fract_x
_atom_site_fract_y
_atom_site_fract_z
Ac1 Ac 0.5512 0.8477 0.0000
Ac2 Ac 0.0531 0.6718 0.2456
Ac3 Ac 0.5531 0.3282 0.2544
Ac4 Ac 0.0512 0.1523 0.5000
Ac5 Ac 0.5531 0.3282 0.7456
Ac6 Ac 0.0531 0.6718 0.7544
U1 U 0.0403 0.1892 0.0000
U2 U 0.5403 0.8108 0.5000
N1 N 0.0552 0.8848 0.0000
N2 N 0.6654 0.1825 0.0000
N3 N 0.0485 0.3101 0.2313
N4 N 0.5485 0.6899 0.2687
N5 N 0.1654 0.8175 0.5000
N6 N 0.5552 0.1152 0.5000
N7 N 0.5485 0.6899 0.7313
N8 N 0.0485 0.3101 0.7687
# Space-group type: Pmn2_1 (31)


Result of the stability comparison: i is the most stable of them.